Record 1
DFT (PBE) results for a relaxed structure of Mg2Cu7Se3.

Summary:
Magnetic moment in μB per atom: 0.0000
Space-group type: No. 166
Energy in eV per atom: -3.44
Formation energy (no corrections) in meV/atom: 89.8

Cell: 9.4180 9.4180 9.4180 Å, 30.65 30.65 30.65°
Atoms (fractional coordinates):
Cu: 0.4066 0.4066 0.9128
Cu: 0.4066 0.9128 0.4066
Cu: 0.5934 0.0872 0.5934
Cu: 0.5000 0.5000 0.5000
Cu: 0.9128 0.4066 0.4066
Cu: 0.0872 0.5934 0.5934
Cu: 0.5934 0.5934 0.0872
Se: 0.1320 0.1320 0.1320
Se: 0.8680 0.8680 0.8680
Se: 0.0000 0.0000 0.0000
Mg: 0.6677 0.6677 0.6677
Mg: 0.3323 0.3323 0.3323

***

Record 2
DFT (PBE) results for a relaxed structure of MgCuSe2.

Summary:
Magnetic moment in μB per atom: 0.0000
Space-group type: No. 35
Energy in eV per atom: -3.20
Formation energy (no corrections) in meV/atom: -32.5

Cell: 2.9672 2.9672 9.5989 Å, 90.00 90.00 97.01°
Atoms (fractional coordinates):
Mg: 0.5000 0.5000 0.7181
Cu: 0.0000 0.0000 0.5182
Se: 0.0000 0.0000 0.9238
Se: 0.5000 0.5000 0.3399

***

Record 3
DFT (PBE) results for a relaxed structure of Mg4Cu2Se.

Summary:
Magnetic moment in μB per atom: 0.0000
Space-group type: No. 166
Energy above the most stable polymorph in this dataset in eV per atom: 0.011
Energy in eV per atom: -2.72
Formation energy (no corrections) in meV/atom: -136.7

Cell: 10.4227 10.4227 10.4227 Å, 22.46 22.46 22.46°
Atoms (fractional coordinates):
Se: 0.0000 0.0000 0.0000
Cu: 0.7696 0.7696 0.7696
Cu: 0.2304 0.2304 0.2304
Mg: 0.8645 0.8645 0.8645
Mg: 0.6155 0.6155 0.6155
Mg: 0.1355 0.1355 0.1355
Mg: 0.3845 0.3845 0.3845

***

Record 4
DFT (PBE) results for a relaxed structure of MgCuSe.

Summary:
Magnetic moment in μB per atom: 0.0000
Space-group type: No. 14
Energy above the most stable polymorph in this dataset in eV per atom: 0.036
Energy in eV per atom: -3.54
Formation energy (no corrections) in meV/atom: -479.7

Cell: 5.3320 7.9241 5.3376 Å, 70.36 90.00 90.00°
Atoms (fractional coordinates):
Se: 0.4998 0.3185 0.8399
Se: 0.0002 0.3185 0.3399
Se: 0.9998 0.6815 0.6601
Se: 0.5002 0.6815 0.1601
Mg: 0.4995 0.7157 0.6429
Mg: 0.5005 0.2843 0.3571
Mg: 0.0005 0.7157 0.1429
Mg: 0.9995 0.2843 0.8571
Cu: 0.6776 0.9993 0.1748
Cu: 0.8224 0.9993 0.6748
Cu: 0.3224 0.0007 0.8252
Cu: 0.1776 0.0007 0.3252

***

Record 5
DFT (PBE) results for a relaxed structure of Mg2Cu2Se.

Summary:
Magnetic moment in μB per atom: 0.0000
Space-group type: No. 65
Energy above the most stable polymorph in this dataset in eV per atom: 0.262
Energy in eV per atom: -3.04
Formation energy (no corrections) in meV/atom: -71.2

Cell: 5.1111 5.1111 5.0012 Å, 90.00 90.00 129.44°
Atoms (fractional coordinates):
Cu: 0.5000 0.5000 0.2337
Cu: 0.5000 0.5000 0.7663
Mg: 0.8446 0.1554 0.0000
Mg: 0.1554 0.8446 0.0000
Se: 0.0000 0.0000 0.5000

***

Record 6
DFT (PBE) results for a relaxed structure of Mg3CuSe2.

Summary:
Magnetic moment in μB per atom: 0.0000
Space-group type: No. 63
Energy above the most stable polymorph in this dataset in eV per atom: 0.224
Energy in eV per atom: -3.07
Formation energy (no corrections) in meV/atom: -432.0

Cell: 6.3058 6.3058 7.1397 Å, 90.00 90.00 108.20°
Atoms (fractional coordinates):
Mg: 0.1074 0.4597 0.2500
Mg: 0.5403 0.8926 0.7500
Mg: 0.8979 0.8979 0.2500
Mg: 0.4597 0.1074 0.2500
Mg: 0.1021 0.1021 0.7500
Mg: 0.8926 0.5403 0.7500
Se: 0.8105 0.1895 0.0000
Se: 0.8105 0.1895 0.5000
Se: 0.1895 0.8105 0.5000
Se: 0.1895 0.8105 0.0000
Cu: 0.4602 0.4602 0.7500
Cu: 0.5398 0.5398 0.2500

***

Record 7
DFT (PBE) results for a relaxed structure of MgCu2Se.

Summary:
Magnetic moment in μB per atom: 0.0000
Space-group type: No. 123
Energy above the most stable polymorph in this dataset in eV per atom: 0.054
Energy in eV per atom: -3.46
Formation energy (no corrections) in meV/atom: -146.8

Cell: 3.7217 3.7200 4.6065 Å, 90.00 90.00 90.00°
Atoms (fractional coordinates):
Se: 0.0000 0.5000 0.5000
Cu: 0.5000 0.5000 0.0000
Cu: 0.0000 0.0000 0.0000
Mg: 0.5000 0.0000 0.5000

***

Record 8
DFT (PBE) results for a relaxed structure of Mg2Cu2Se.

Summary:
Magnetic moment in μB per atom: 0.0000
Space-group type: No. 59
Energy above the most stable polymorph in this dataset in eV per atom: 0.208
Energy in eV per atom: -3.10
Formation energy (no corrections) in meV/atom: -125.2

Cell: 3.6468 4.0920 12.2311 Å, 90.00 90.00 90.00°
Atoms (fractional coordinates):
Cu: 0.5000 0.5000 0.9946
Cu: 0.0000 0.0000 0.6478
Cu: 0.5000 0.5000 0.3522
Cu: 0.0000 0.0000 0.0054
Mg: 0.5000 0.0000 0.4758
Mg: 0.0000 0.5000 0.1640
Mg: 0.5000 0.0000 0.8360
Mg: 0.0000 0.5000 0.5242
Se: 0.0000 0.5000 0.7619
Se: 0.5000 0.0000 0.2381

***

Record 9
DFT (PBE) results for a relaxed structure of Mg2CuSe4.

Summary:
Magnetic moment in μB per atom: 0.0000
Space-group type: No. 139
Energy above the most stable polymorph in this dataset in eV per atom: 0.188
Energy in eV per atom: -3.40
Formation energy (no corrections) in meV/atom: -369.1

Cell: 8.4119 8.4119 8.4119 Å, 147.20 147.20 47.06°
Atoms (fractional coordinates):
Cu: 0.0000 0.0000 0.0000
Se: 0.0000 0.5000 0.5000
Se: 0.2405 0.2405 0.0000
Se: 0.5000 0.0000 0.5000
Se: 0.7595 0.7595 0.0000
Mg: 0.5985 0.5985 0.0000
Mg: 0.4015 0.4015 0.0000

***

Record 10
DFT (PBE) results for a relaxed structure of MgCu2Se.

Summary:
Magnetic moment in μB per atom: 0.0000
Space-group type: No. 63
Energy above the most stable polymorph in this dataset in eV per atom: 0.000
Energy in eV per atom: -3.52
Formation energy (no corrections) in meV/atom: -200.8

Cell: 9.5077 9.5077 3.9905 Å, 90.00 90.00 157.49°
Atoms (fractional coordinates):
Mg: 0.0744 0.9256 0.7500
Mg: 0.9256 0.0744 0.2500
Cu: 0.5351 0.4649 0.2500
Cu: 0.4649 0.5351 0.7500
Cu: 0.7439 0.2561 0.7500
Cu: 0.2561 0.7439 0.2500
Se: 0.3361 0.6639 0.7500
Se: 0.6639 0.3361 0.2500

***

Record 11
DFT (PBE) results for a relaxed structure of MgCu3Se2.

Summary:
Magnetic moment in μB per atom: 0.0000
Space-group type: No. 194
Energy above the most stable polymorph in this dataset in eV per atom: 0.000
Energy in eV per atom: -3.63
Formation energy (no corrections) in meV/atom: -149.9

Cell: 5.1232 5.1226 10.2466 Å, 90.00 90.00 120.00°
Atoms (fractional coordinates):
Mg: 0.0000 0.0000 0.0000
Mg: 0.0000 0.0000 0.5000
Se: 0.3333 0.6667 0.0695
Se: 0.3333 0.6667 0.4305
Se: 0.6667 0.3333 0.9305
Se: 0.6667 0.3333 0.5695
Cu: 0.8425 0.1576 0.7500
Cu: 0.3151 0.1576 0.7500
Cu: 0.1575 0.3150 0.2500
Cu: 0.1575 0.8424 0.2500
Cu: 0.8425 0.6850 0.7500
Cu: 0.6849 0.8424 0.2500

***

Record 12
DFT (PBE) results for a relaxed structure of MgCuSe.

Summary:
Magnetic moment in μB per atom: 0.0000
Space-group type: No. 189
Energy above the most stable polymorph in this dataset in eV per atom: 0.218
Energy in eV per atom: -3.36
Formation energy (no corrections) in meV/atom: -297.9

Cell: 6.9114 6.9114 3.8706 Å, 90.00 90.00 120.00°
Atoms (fractional coordinates):
Mg: 0.5913 0.0000 0.5000
Mg: 0.4087 0.4087 0.5000
Mg: 0.0000 0.5913 0.5000
Cu: 0.6667 0.3333 0.0000
Cu: 0.0000 0.0000 0.5000
Cu: 0.3333 0.6667 0.0000
Se: 0.0000 0.2851 0.0000
Se: 0.2851 0.0000 0.0000
Se: 0.7149 0.7149 0.0000

***

Record 13
DFT (PBE) results for a relaxed structure of MgCu2Se.

Summary:
Magnetic moment in μB per atom: 0.0000
Space-group type: No. 129
Energy above the most stable polymorph in this dataset in eV per atom: 0.039
Energy in eV per atom: -3.48
Formation energy (no corrections) in meV/atom: -161.7

Cell: 3.5896 3.5896 10.2000 Å, 90.00 90.00 90.00°
Atoms (fractional coordinates):
Mg: 0.5000 0.0000 0.7003
Mg: 0.0000 0.5000 0.2997
Se: 0.5000 0.0000 0.1885
Se: 0.0000 0.5000 0.8115
Cu: 0.0000 0.0000 0.0000
Cu: 0.5000 0.5000 0.0000
Cu: 0.0000 0.5000 0.5468
Cu: 0.5000 0.0000 0.4532

***

Record 14
DFT (PBE) results for a relaxed structure of Mg9Cu2Se.

Summary:
Magnetic moment in μB per atom: 0.0000
Space-group type: No. 12
Energy in eV per atom: -2.22
Formation energy (no corrections) in meV/atom: -53.7

Cell: 6.3831 6.3831 8.7042 Å, 113.56 113.56 55.26°
Atoms (fractional coordinates):
Mg: 0.6050 0.6050 0.9167
Mg: 0.3950 0.3950 0.0833
Mg: 0.1164 0.1164 0.7970
Mg: 0.5000 0.5000 0.5000
Mg: 0.8836 0.8836 0.2030
Mg: 0.9261 0.4321 0.2966
Mg: 0.4321 0.9261 0.2966
Mg: 0.0739 0.5679 0.7034
Mg: 0.5679 0.0739 0.7034
Se: 0.0000 0.0000 0.0000
Cu: 0.8933 0.8933 0.5043
Cu: 0.1067 0.1067 0.4957

***

Record 15
DFT (PBE) results for a relaxed structure of MgCuSe2.

Summary:
Magnetic moment in μB per atom: 0.0000
Space-group type: No. 65
Energy in eV per atom: -3.35
Formation energy (no corrections) in meV/atom: -184.3

Cell: 4.5903 4.5903 3.5630 Å, 90.00 90.00 99.45°
Atoms (fractional coordinates):
Mg: 0.0000 0.5000 0.5000
Cu: 0.5000 0.0000 0.5000
Se: 0.5000 0.5000 0.0000
Se: 0.0000 0.0000 0.0000

***

Record 16
DFT (PBE) results for a relaxed structure of MgCuSe.

Summary:
Magnetic moment in μB per atom: 0.0000
Space-group type: No. 57
Energy above the most stable polymorph in this dataset in eV per atom: 0.261
Energy in eV per atom: -3.31
Formation energy (no corrections) in meV/atom: -254.6

Cell: 7.3386 5.3770 5.6312 Å, 90.00 90.00 90.00°
Atoms (fractional coordinates):
Cu: 0.7500 0.9231 0.5571
Cu: 0.2500 0.0769 0.4429
Cu: 0.7500 0.0769 0.0571
Cu: 0.2500 0.9231 0.9429
Mg: 0.7500 0.4166 0.4188
Mg: 0.2500 0.4166 0.0812
Mg: 0.7500 0.5834 0.9188
Mg: 0.2500 0.5834 0.5812
Se: 0.0000 0.2288 0.7500
Se: 0.5000 0.2288 0.7500
Se: 0.5000 0.7712 0.2500
Se: 0.0000 0.7712 0.2500

***

Record 17
DFT (PBE) results for a relaxed structure of Mg3Cu3Se.

Summary:
Magnetic moment in μB per atom: 0.0000
Space-group type: No. 11
Energy above the most stable polymorph in this dataset in eV per atom: 0.161
Energy in eV per atom: -3.08
Formation energy (no corrections) in meV/atom: -140.3

Cell: 4.1056 7.9046 8.8787 Å, 63.16 90.00 90.00°
Atoms (fractional coordinates):
Se: 0.2500 0.9266 0.6970
Se: 0.7500 0.0734 0.3030
Cu: 0.7500 0.7252 0.3601
Cu: 0.7500 0.4412 0.6581
Cu: 0.2500 0.2930 0.2341
Cu: 0.2500 0.2748 0.6399
Cu: 0.2500 0.5588 0.3419
Cu: 0.7500 0.7070 0.7659
Mg: 0.2500 0.6618 0.5874
Mg: 0.2500 0.9526 0.1578
Mg: 0.7500 0.3499 0.9807
Mg: 0.2500 0.6501 0.0193
Mg: 0.7500 0.0474 0.8422
Mg: 0.7500 0.3382 0.4126

***

Record 18
DFT (PBE) results for a relaxed structure of MgCuSe.

Summary:
Magnetic moment in μB per atom: 0.0000
Space-group type: No. 59
Energy above the most stable polymorph in this dataset in eV per atom: 0.225
Energy in eV per atom: -3.35
Formation energy (no corrections) in meV/atom: -290.2

Cell: 4.1860 4.1326 17.6425 Å, 90.00 90.00 90.00°
Atoms (fractional coordinates):
Mg: 0.1020 0.2500 0.0610
Mg: 0.8980 0.7500 0.5610
Mg: 0.8980 0.7500 0.9390
Mg: 0.1020 0.2500 0.4390
Se: 0.4085 0.7500 0.8503
Se: 0.5915 0.2500 0.3503
Se: 0.5915 0.2500 0.1497
Se: 0.4085 0.7500 0.6497
Cu: 0.3293 0.2500 0.5879
Cu: 0.6707 0.7500 0.0879
Cu: 0.6707 0.7500 0.4121
Cu: 0.3293 0.2500 0.9121

***

Record 19
DFT (PBE) results for a relaxed structure of MgCuSe.

Summary:
Magnetic moment in μB per atom: 0.0000
Space-group type: No. 187
Energy above the most stable polymorph in this dataset in eV per atom: 0.535
Energy in eV per atom: -3.04
Formation energy (no corrections) in meV/atom: 19.0

Cell: 4.3572 4.3572 3.7465 Å, 90.00 90.00 119.99°
Atoms (fractional coordinates):
Mg: 0.3333 0.6667 0.5000
Se: 0.6667 0.3333 0.5000
Cu: 0.0000 0.0000 0.0000

***

Record 20
DFT (PBE) results for a relaxed structure of MgCuSe2.

Summary:
Magnetic moment in μB per atom: 0.0000
Space-group type: No. 194
Energy in eV per atom: -3.63
Formation energy (no corrections) in meV/atom: -469.8

Cell: 3.7520 3.7520 12.7212 Å, 90.00 90.00 120.00°
Atoms (fractional coordinates):
Se: 0.6667 0.3333 0.3865
Se: 0.3333 0.6667 0.8865
Se: 0.3333 0.6667 0.6135
Se: 0.6667 0.3333 0.1135
Mg: 0.6667 0.3333 0.7500
Mg: 0.3333 0.6667 0.2500
Cu: 0.0000 0.0000 0.0000
Cu: 0.0000 0.0000 0.5000

***

Record 21
DFT (PBE) results for a relaxed structure of Mg2Cu4Se.

Summary:
Magnetic moment in μB per atom: 0.0000
Space-group type: No. 166
Energy above the most stable polymorph in this dataset in eV per atom: 0.000
Energy in eV per atom: -3.47
Formation energy (no corrections) in meV/atom: -178.6

Cell: 8.5110 8.5110 8.5110 Å, 27.60 27.60 27.60°
Atoms (fractional coordinates):
Mg: 0.2700 0.2700 0.2700
Mg: 0.7300 0.7300 0.7300
Se: 0.0000 0.0000 0.0000
Cu: 0.1537 0.1537 0.1537
Cu: 0.8463 0.8463 0.8463
Cu: 0.5471 0.5471 0.5471
Cu: 0.4529 0.4529 0.4529

***

Record 22
DFT (PBE) results for a relaxed structure of MgCuSe.

Summary:
Magnetic moment in μB per atom: 0.0000
Space-group type: No. 38
Energy above the most stable polymorph in this dataset in eV per atom: 0.152
Energy in eV per atom: -3.42
Formation energy (no corrections) in meV/atom: -363.2

Cell: 7.6633 7.6633 3.8641 Å, 90.00 90.00 123.26°
Atoms (fractional coordinates):
Se: 0.8966 0.3102 0.5000
Se: 0.5435 0.5435 0.5000
Se: 0.3102 0.8966 0.5000
Mg: 0.8993 0.8993 0.5000
Mg: 0.2210 0.6081 0.0000
Mg: 0.6081 0.2210 0.0000
Cu: 0.9851 0.1671 0.0000
Cu: 0.3692 0.3692 0.0000
Cu: 0.1671 0.9851 0.0000

***

Record 23
DFT (PBE) results for a relaxed structure of Mg4Cu2Se.

Summary:
Magnetic moment in μB per atom: 0.0000
Space-group type: No. 139
Energy above the most stable polymorph in this dataset in eV per atom: 0.079
Energy in eV per atom: -2.65
Formation energy (no corrections) in meV/atom: -69.1

Cell: 5.6738 5.6738 5.6738 Å, 105.40 105.40 117.95°
Atoms (fractional coordinates):
Mg: 0.7294 0.7294 0.4589
Mg: 0.2706 0.2706 0.5411
Mg: 0.2706 0.7294 0.0000
Mg: 0.7294 0.2706 0.0000
Cu: 0.2500 0.7500 0.5000
Cu: 0.7500 0.2500 0.5000
Se: 0.0000 0.0000 0.0000

***

Record 24
DFT (PBE) results for a relaxed structure of Mg2CuSe3.

Summary:
Magnetic moment in μB per atom: 0.0000
Space-group type: No. 193
Energy above the most stable polymorph in this dataset in eV per atom: 0.000
Energy in eV per atom: -3.75
Formation energy (no corrections) in meV/atom: -789.8

Cell: 6.6030 6.6030 6.9035 Å, 90.00 90.00 119.99°
Atoms (fractional coordinates):
Cu: 0.4998 0.4998 0.7500
Cu: 0.5002 0.5002 0.2500
Se: 0.5000 0.1481 0.2500
Se: 0.1479 0.1479 0.7500
Se: 0.5000 0.8519 0.7500
Se: 0.8521 0.8521 0.2500
Se: 0.1481 0.5000 0.2500
Se: 0.8519 0.5000 0.7500
Mg: 0.8333 0.1667 0.0000
Mg: 0.8333 0.1667 0.5000
Mg: 0.1667 0.8333 0.0000
Mg: 0.1667 0.8333 0.5000